1.
The following is a DFT calculation (PBE-GGA) of crystalline NaThAs2 at its relaxed geometry.

Output
- DFT formation energy (eV per atom) = -0.73
- energy above the lowest structure with this stoichiometry (meV/atom) = 16
- magnetic moment (μB/f.u.) = 0.0

Unit cell a=4.3751 b=4.3751 c=7.1511 alpha=72.19 beta=72.19 gamma=60.00
Closest atoms and distances in Å follow each position.
Atoms (fractional coordinates):
As 0.2552 0.2552 0.2345  3 Th 3.00, 3 Na 3.16
As 0.0816 0.0816 0.7550  3 Na 2.98, 3 Th 2.98
Na 0.4938 0.4938 0.5187  6 As 2.98-3.16
Th 0.6694 0.6694 0.9917  6 As 2.98-3.00

2.
The following is a DFT calculation (PBE-GGA) of crystalline NaTh5As6 at its relaxed geometry.

Output
- DFT formation energy (eV per atom) = -1.25
- magnetic moment (μB/f.u.) = 0.0

Unit cell a=7.3723 b=7.3921 c=7.3751 alpha=59.92 beta=80.40 gamma=70.57
Closest atoms and distances in Å follow each position.
Atoms (fractional coordinates):
As 0.7514 0.7470 0.0000  5 Th 3.00, 1 Na 3.02
As 0.7473 0.0845 0.3363  5 Th 3.01, 1 Na 3.04
As 0.7473 0.4209 0.6637  5 Th 3.01, 1 Na 3.04
As 0.2527 0.9155 0.6637  5 Th 3.01, 1 Na 3.04
As 0.2527 0.5791 0.3363  5 Th 3.01, 1 Na 3.04
As 0.2486 0.2530 0.0000  5 Th 3.00, 1 Na 3.02
Th 0.0000 0.3332 0.3337  6 As 3.00-3.01
Th 0.5000 0.5000 0.0000  6 As 3.00-3.01
Th 0.5000 0.1633 0.6733  6 As 3.00-3.01
Th 0.5000 0.8367 0.3267  6 As 3.00-3.01
Th 0.0000 0.6668 0.6663  6 As 3.00-3.01
Na 0.0000 0.0000 0.0000  6 As 3.02-3.04

3.
The following is a DFT calculation (PBE-GGA) of crystalline Na2ThUAs4 at its relaxed geometry.

Output
- DFT formation energy (eV per atom) = -0.70
- magnetic moment (μB/f.u.) = 0.1

Unit cell a=4.2925 b=7.3822 c=7.2605 alpha=110.07 beta=90.00 gamma=90.00
Closest atoms and distances in Å follow each position.
Atoms (fractional coordinates):
Th 0.5000 0.5000 0.0000  6 As 2.95-2.97
As 0.0000 0.2400 0.7811  1 U 2.76, 2 Th 2.95, 2 Na 3.07
As 0.5000 0.7820 0.7897  2 U 2.80, 1 Th 2.97, 1 Na 3.06
As 0.0000 0.7600 0.2189  1 U 2.76, 2 Th 2.95, 2 Na 3.07
As 0.5000 0.2180 0.2103  2 U 2.80, 1 Th 2.97, 1 Na 3.06
Na 0.0000 0.5000 0.5000  6 As 3.22-3.25
Na 0.5000 0.0000 0.5000  6 As 3.06-3.07
U 0.0000 0.0000 0.0000  6 As 2.76-2.80

4.
The following is a DFT calculation (PBE-GGA) of crystalline Na2TiAs2 at its relaxed geometry.

Output
- DFT formation energy (eV per atom) = -0.38
- energy above the lowest structure with this stoichiometry (meV/atom) = 0
- magnetic moment (μB/f.u.) = 0.0

Unit cell a=4.0876 b=4.0876 c=15.0438 alpha=97.81 beta=97.81 gamma=90.00
Closest atoms and distances in Å follow each position.
Atoms (fractional coordinates):
Na 0.4178 0.9178 0.8356  4 As 3.05, 2 Ti 3.17, 2 Na 3.25
Na 0.1678 0.1678 0.3356  4 As 3.05, 2 Ti 3.17, 2 Na 3.25
Na 0.0822 0.5822 0.1644  4 As 3.05, 2 Ti 3.17, 2 Na 3.25
Na 0.8322 0.8322 0.6644  4 As 3.05, 2 Ti 3.17, 2 Na 3.25
As 0.2991 0.2991 0.5981  2 Ti 2.51
As 0.7009 0.7009 0.4019  2 Ti 2.51
As 0.9509 0.4509 0.9019  2 Ti 2.51
As 0.5491 0.0491 0.0981  2 Ti 2.51
Ti 0.5000 0.5000 0.0000  4 As 2.51
Ti 0.7500 0.2500 0.5000  4 As 2.51

Question: Look up the DFT formation energy of the first one.
Answer: -0.73 eV per atom